Compound: Pm4YGa4
Source: Alexandria
Functional: PBE
Structure: relaxed

DOS(E_F)   16.6 states/eV per cell
E_form   -0.4033 eV/atom
E   -4.58 eV per atom
Theoretical density   6.25 Mg/m³

Cell: 4.786 10.261 10.261 Å, 90.00 90.00 90.00°
Fractional positions:
Pm (0.500, 0.367, 0.854)
Pm (0.500, 0.146, 0.367)
Ga (0.500, 0.930, 0.168)
Ga (0.500, 0.070, 0.832)
Pm (0.000, 0.867, 0.354)
Ga (0.000, 0.668, 0.570)
Ga (0.000, 0.430, 0.668)
Ga (0.000, 0.570, 0.332)
Ga (0.500, 0.168, 0.070)
Pm (0.000, 0.646, 0.867)
Pm (0.500, 0.633, 0.146)
Y (0.000, 0.000, 0.000)
Ga (0.500, 0.832, 0.930)
Ga (0.000, 0.332, 0.430)
Pm (0.000, 0.133, 0.646)
Pm (0.500, 0.854, 0.633)
Y (0.500, 0.500, 0.500)
Pm (0.000, 0.354, 0.133)